This record from the Alexandria database describes a relaxed SrYTaC2 crystal. The functional is PBE-GGA.

a = 4.7333 Å, b = 5.4123 Å, c = 4.7333 Å
α = 90.00°, β = 90.00°, γ = 90.00°
Fractional coordinates of all 5 atoms:
C: 0.0000 0.0000 0.5000
Sr: 0.5000 0.5000 0.5000
Ta: 0.0000 0.5000 0.0000
Y: 0.0000 0.0000 0.0000
C: 0.5000 0.0000 0.0000

* size of the total moment: 2.7 μB per formula unit
* energy: -5.449 eV/atom